1.
A plane-wave DFT calculation with PBE was carried out for a relaxed structure of Y2ZrSbN.

Values from the calculation:
* formation energy from raw total energies: -970 meV/atom
* total magnetization: 0.0000 μB/atom

Unit cell a=4.896 b=4.896 c=4.399 alpha=90.00 beta=90.00 gamma=90.00
Element x y z (fractional)
Sb1 0.500 0.500 0.500
Y1 0.000 0.500 0.000
Y2 0.500 0.000 0.000
Zr1 0.000 0.000 0.500
N1 0.000 0.000 0.000

---

2.
A plane-wave DFT calculation with PBE was carried out for a relaxed structure of CdAgC3.

Values from the calculation:
* ΔH_f (0 K): 3.08 eV/atom
* energy above the most stable polymorph in this dataset: 0.00 eV per formula unit
* total magnetization: 0.0000 μB/atom

Unit cell a=4.223 b=4.223 c=4.223 alpha=90.00 beta=90.00 gamma=90.00
Element x y z (fractional)
Ag1 0.000 0.000 0.000
C1 0.500 0.000 0.000
C2 0.000 0.000 0.500
C3 0.000 0.500 0.000
Cd1 0.500 0.500 0.500

---

3.
A plane-wave DFT calculation with PBE was carried out for a relaxed structure of CoOs3.

Values from the calculation:
* ΔH_f (0 K): 0.05 eV/atom
* total magnetization: 0.0001 μB/atom

Unit cell a=5.379 b=4.257 c=4.681 alpha=90.00 beta=90.00 gamma=90.00
Element x y z (fractional)
Co1 0.500 0.500 0.340
Co2 0.000 0.000 0.660
Os1 0.000 0.500 0.342
Os2 0.500 0.000 0.658
Os3 0.747 0.000 0.172
Os4 0.753 0.500 0.828
Os5 0.253 0.000 0.172
Os6 0.247 0.500 0.828

---

4.
A plane-wave DFT calculation with PBE was carried out for a relaxed structure of MgPaZn4.

Values from the calculation:
* ΔH_f (0 K): -0.11 eV/atom
* total magnetization: 0.0000 μB/atom

Unit cell a=4.422 b=4.422 c=6.670 alpha=90.01 beta=90.00 gamma=120.00
Element x y z (fractional)
Zn1 0.671 0.833 0.751
Zn2 0.337 0.166 0.752
Zn3 0.671 0.833 0.245
Zn4 0.337 0.166 0.245
Pa1 0.004 0.499 0.498
Mg1 0.004 0.499 0.998

---

5.
A plane-wave DFT calculation with PBE was carried out for a relaxed structure of TmPa2Zn6.

Values from the calculation:
* ΔH_f (0 K): -0.17 eV/atom
* total magnetization: 0.0001 μB/atom

Unit cell a=3.211 b=7.895 c=7.895 alpha=120.00 beta=90.00 gamma=90.00
Element x y z (fractional)
Pa1 0.000 0.667 0.333
Pa2 0.000 0.333 0.667
Zn1 0.500 0.000 0.331
Zn2 0.500 0.669 0.669
Zn3 0.500 0.331 0.000
Zn4 0.500 0.669 0.000
Zn5 0.500 0.331 0.331
Zn6 0.500 0.000 0.669
Tm1 0.000 0.000 0.000

---

6.
A plane-wave DFT calculation with PBE was carried out for a relaxed structure of TbInAu.

Values from the calculation:
* ΔH_f (0 K): -0.55 eV/atom
* total magnetization: 0.0000 μB/atom

Unit cell a=3.498 b=3.498 c=6.299 alpha=106.12 beta=106.12 gamma=90.00
Element x y z (fractional)
Tb1 0.936 0.936 0.872
In1 0.631 0.631 0.261
Au1 0.283 0.283 0.566